GGA-PBE Hg3TeS, relaxed; offset from the most stable computed form = 0.0000 eV per atom; formation energy from raw total energies = 21.3 kJ per mole of atoms
1.0
5.229 0.000 0.000
0.000 5.229 0.000
0.000 0.000 5.229
Hg S Te
3 1 1
Direct
0.000 0.000 0.500
0.500 0.000 0.000
0.000 0.500 0.000
0.000 0.000 0.000
0.500 0.500 0.500

---

GGA-PBE HgTeS2, relaxed; offset from the most stable computed form = 0.1542 eV per atom; formation energy from raw total energies = 23.0 kJ per mole of atoms
1.0
-0.021 -4.827 2.391
4.733 1.124 2.312
-1.325 1.171 8.419
Te S Hg
2 4 2
Direct
0.500 0.500 0.000
0.250 0.750 0.500
0.614 0.125 0.250
0.136 0.625 0.250
0.875 0.864 0.750
0.375 0.386 0.750
0.000 0.000 0.000
0.750 0.250 0.500

---

GGA-PBE Hg3TeS2, relaxed; formation energy from raw total energies = -12.4 kJ per mole of atoms
1.0
-1.981 4.435 -5.865
-5.157 -1.908 5.269
4.107 4.974 4.005
Hg Te S
6 2 4
Direct
0.050 0.251 0.401
0.404 0.880 0.376
0.251 0.050 0.901
0.537 0.700 0.873
0.880 0.404 0.876
0.700 0.537 0.373
0.930 0.099 0.007
0.099 0.930 0.507
0.753 0.266 0.508
0.595 0.430 0.007
0.266 0.753 0.008
0.430 0.595 0.507

---

GGA-PBE Hg5Te3S12, relaxed; formation energy from raw total energies = 27.7 kJ per mole of atoms
1.0
13.642 0.000 0.000
-4.547 12.862 0.000
-4.547 -6.431 11.139
Te Hg S
12 20 48
Direct
0.375 0.750 0.625
0.875 0.750 0.125
0.750 0.375 0.125
0.875 0.125 0.250
0.750 0.875 0.625
0.125 0.250 0.875
0.375 0.625 0.250
0.625 0.375 0.750
0.250 0.625 0.875
0.250 0.125 0.375
0.125 0.875 0.750
0.625 0.250 0.375
0.000 0.000 0.500
0.750 0.125 0.875
0.500 0.000 0.500
0.000 0.500 0.000
0.875 0.625 0.750
0.000 0.500 0.500
0.625 0.875 0.250
0.125 0.750 0.375
0.375 0.125 0.750
0.250 0.375 0.625
0.875 0.250 0.625
0.125 0.375 0.250
0.375 0.250 0.125
0.750 0.625 0.375
0.625 0.750 0.875
0.250 0.875 0.125
0.500 0.500 0.500
0.500 0.500 0.000
0.500 0.000 0.000
0.000 0.000 0.000
0.328 0.552 0.414
0.448 0.672 0.086
0.224 0.552 0.637
0.776 0.328 0.913
0.586 0.948 0.672
0.672 0.448 0.586
0.914 0.087 0.863
0.363 0.414 0.087
0.587 0.863 0.414
0.172 0.086 0.948
0.948 0.363 0.276
0.414 0.363 0.587
0.052 0.637 0.724
0.913 0.828 0.776
0.724 0.137 0.052
0.828 0.914 0.052
0.224 0.672 0.087
0.413 0.137 0.586
0.913 0.086 0.637
0.363 0.948 0.776
0.087 0.172 0.224
0.137 0.413 0.086
0.724 0.587 0.172
0.828 0.913 0.276
0.637 0.586 0.913
0.087 0.914 0.363
0.086 0.913 0.137
0.086 0.172 0.448
0.328 0.776 0.413
0.587 0.724 0.672
0.637 0.052 0.224
0.863 0.276 0.448
0.948 0.586 0.172
0.448 0.776 0.863
0.776 0.448 0.363
0.276 0.413 0.828
0.414 0.052 0.328
0.276 0.863 0.948
0.914 0.828 0.552
0.586 0.637 0.413
0.552 0.224 0.137
0.172 0.087 0.724
0.552 0.328 0.914
0.052 0.414 0.828
0.863 0.587 0.914
0.137 0.724 0.552
0.413 0.276 0.328
0.672 0.224 0.587

---

GGA-PBE Hg3TeS4, relaxed; formation energy from raw total energies = -1.2 kJ per mole of atoms
1.0
7.419 0.000 0.000
0.000 8.675 0.000
0.000 0.000 7.958
Te Hg S
2 6 8
Direct
0.051 0.242 0.000
0.551 0.758 0.500
0.990 0.697 0.241
0.352 0.961 0.000
0.490 0.303 0.741
0.490 0.303 0.259
0.990 0.697 0.759
0.852 0.039 0.500
0.163 0.369 0.753
0.163 0.369 0.247
0.597 0.142 0.000
0.663 0.631 0.747
0.210 0.712 0.000
0.097 0.858 0.500
0.710 0.288 0.500
0.663 0.631 0.253

---

GGA-PBE Hg3Te5S12, relaxed; formation energy from raw total energies = 27.7 kJ per mole of atoms
1.0
-13.306 -4.689 3.269
9.735 -7.140 7.999
0.938 14.182 2.778
Te S Hg
20 48 12
Direct
0.000 0.500 0.000
0.500 0.500 0.500
0.125 0.375 0.250
0.375 0.250 0.125
0.000 0.500 0.500
0.500 0.000 0.500
0.000 0.000 0.000
0.625 0.750 0.875
0.875 0.250 0.625
0.250 0.375 0.625
0.000 0.000 0.500
0.375 0.125 0.750
0.750 0.125 0.875
0.750 0.625 0.375
0.500 0.500 0.000
0.250 0.875 0.125
0.500 0.000 0.000
0.875 0.625 0.750
0.625 0.875 0.250
0.125 0.750 0.375
0.528 0.686 0.657
0.158 0.472 0.129
0.972 0.843 0.814
0.657 0.186 0.528
0.129 0.972 0.158
0.814 0.343 0.972
0.528 0.343 0.871
0.371 0.342 0.528
0.343 0.814 0.472
0.158 0.686 0.528
0.371 0.028 0.343
0.871 0.028 0.842
0.972 0.129 0.658
0.028 0.871 0.342
0.028 0.157 0.186
0.314 0.842 0.972
0.629 0.658 0.472
0.472 0.314 0.343
0.472 0.657 0.129
0.186 0.657 0.028
0.657 0.472 0.629
0.972 0.629 0.157
0.871 0.843 0.528
0.157 0.028 0.686
0.629 0.972 0.657
0.842 0.528 0.871
0.342 0.972 0.814
0.658 0.629 0.972
0.843 0.972 0.314
0.129 0.157 0.472
0.472 0.814 0.842
0.658 0.028 0.186
0.028 0.371 0.843
0.843 0.871 0.028
0.028 0.658 0.686
0.686 0.528 0.157
0.686 0.158 0.028
0.314 0.472 0.843
0.343 0.528 0.371
0.472 0.158 0.629
0.186 0.528 0.658
0.972 0.342 0.314
0.814 0.472 0.342
0.157 0.129 0.972
0.342 0.371 0.028
0.842 0.314 0.472
0.528 0.186 0.158
0.528 0.842 0.371
0.875 0.750 0.125
0.625 0.375 0.750
0.250 0.625 0.875
0.750 0.875 0.625
0.125 0.875 0.750
0.375 0.750 0.625
0.375 0.625 0.250
0.875 0.125 0.250
0.125 0.250 0.875
0.250 0.125 0.375
0.625 0.250 0.375
0.750 0.375 0.125

---

GGA-PBE HgTe2S2, relaxed; offset from the most stable computed form = 0.0000 eV per atom; formation energy from raw total energies = 27.8 kJ per mole of atoms
1.0
9.179 0.000 0.000
0.000 9.179 0.000
0.000 0.000 3.340
S Te Hg
4 4 2
Direct
0.109 0.391 0.000
0.391 0.891 0.000
0.891 0.609 0.000
0.609 0.109 0.000
0.246 0.746 0.500
0.754 0.254 0.500
0.254 0.246 0.500
0.746 0.754 0.500
0.500 0.500 0.000
0.000 0.000 0.000

---

GGA-PBE Hg3TeS, relaxed; offset from the most stable computed form = 0.2759 eV per atom; formation energy from raw total energies = 47.9 kJ per mole of atoms
1.0
-5.438 -1.083 0.932
-0.887 -0.318 -5.543
1.120 -5.508 0.136
Hg S Te
3 1 1
Direct
0.000 0.500 0.000
0.000 0.000 0.500
0.500 0.000 0.000
0.500 0.500 0.500
0.000 0.000 0.000

---

- What is the formation energy from raw total energies in the fourth record?
  27.7 kJ per mole of atoms